Computed, not measured: LiDyB after structural relaxation at the PBE level of DFT.

abc: 4.7509 4.7509 7.3517
angles: 97.71 97.71 46.56
Last column: nearest neighbours and their distance in Å.
Sites, in units of the cell vectors:
Li  0.1329  0.1329  0.4059  1 B 2.42
Li  0.8671  0.8671  0.5941  1 B 2.42
Dy  0.3831  0.3831  0.1655  5 B 2.63-2.68
Dy  0.6169  0.6169  0.8345  5 B 2.63-2.68
B  0.0764  0.0764  0.0731  1 B 1.59
B  0.9236  0.9236  0.9269  1 B 1.59

Properties
- D(E_F): 3.0 states/eV per cell
- Energy relative to the elements: -0.024 eV/atom
- Symmetry: No. 12